# 1
Sc2WS | PBE | optimized geometry

## Properties
size of the total moment: 0.0 μB per cell
Fermi-level density of states: 1.508 states/eV/atom
uncorrected formation energy: 134 meV/atom

abc: 3.2316 3.2316 27.6329
angles: 90.00 90.00 120.00
Space group R-3m (No. 166, hexagonal axes)
Symmetry-distinct sites (fractional):
Sc: 0.0000 0.0000 0.0874 (multiplicity 6)
W: 0.0000 0.0000 0.5000 (multiplicity 3)
S: 0.0000 0.0000 0.0000 (multiplicity 3)


# 2
ScWS3 | PBE | optimized geometry

## Properties
size of the total moment: 3.0 μB per cell
Fermi-level density of states: 0.645 states/eV/atom
energy above the lowest structure with this stoichiometry: 726 meV/atom
uncorrected formation energy: 466 meV/atom

abc: 4.801 4.801 4.801
angles: 90.00 90.00 90.00
Space group Pm-3m (No. 221)
Symmetry-distinct sites (fractional):
Sc: 0.000 0.000 0.000 (multiplicity 1)
W: 0.500 0.500 0.500 (multiplicity 1)
S: 0.000 0.000 0.500 (multiplicity 3)


# 3
Sc2WS | PBE | optimized geometry

## Properties
size of the total moment: 0.0 μB per cell
Fermi-level density of states: 0.625 states/eV/atom
uncorrected formation energy: 6 meV/atom

abc: 8.458 8.458 4.613
angles: 90.00 90.00 90.00
Space group I-42d (No. 122)
Symmetry-distinct sites (fractional):
Sc: 0.134 0.250 0.125 (multiplicity 8)
W: 0.000 0.000 0.500 (multiplicity 4)
S: 0.000 0.000 0.000 (multiplicity 4)


# 4
Sc3WS | PBE | optimized geometry

## Properties
size of the total moment: 0.7 μB per cell
Fermi-level density of states: 1.226 states/eV/atom
energy above the lowest structure with this stoichiometry: 0 meV/atom
uncorrected formation energy: -88 meV/atom

abc: 4.732 4.732 4.732
angles: 90.00 90.00 90.00
Space group Pm-3m (No. 221)
Symmetry-distinct sites (fractional):
Sc: 0.000 0.000 0.500 (multiplicity 3)
W: 0.500 0.500 0.500 (multiplicity 1)
S: 0.000 0.000 0.000 (multiplicity 1)


# 5
ScW2S | PBE | optimized geometry

## Properties
size of the total moment: 0.0 μB per cell
Fermi-level density of states: 1.017 states/eV/atom
uncorrected formation energy: 224 meV/atom

abc: 3.680 3.680 21.204
angles: 90.00 90.00 90.00
Space group I-42d (No. 122)
Symmetry-distinct sites (fractional):
Sc: 0.000 0.000 0.000 (multiplicity 4)
W: 0.249 0.250 0.625 (multiplicity 8)
S: 0.000 0.000 0.500 (multiplicity 4)


# 6
Y2ScWS | PBE | optimized geometry

## Properties
size of the total moment: 0.0 μB per cell
Fermi-level density of states: 1.119 states/eV/atom
uncorrected formation energy: 427 meV/atom

abc: 5.606 5.606 4.509
angles: 90.00 90.00 90.00
Space group P4/mmm (No. 123)
Symmetry-distinct sites (fractional):
Y: 0.000 0.500 0.000 (multiplicity 2)
Sc: 0.000 0.000 0.500 (multiplicity 1)
W: 0.500 0.500 0.000 (multiplicity 1)
S: 0.500 0.500 0.500 (multiplicity 1)


What is the size of the total moment in the first record? 0.0 μB per cell